PBE CaPmSb, relaxed; energy relative to the elements, uncorrected = -813 meV per atom; symmetry = P4/nmm, No. 129; electronic total energy = -4.438 eV/atom; relative energy among the computed polymorphs = 0.000 eV per atom; density of states at the Fermi level = 7.53 states/eV/cell
1.0
4.651 0.000 0.014
0.000 4.651 -0.014
-0.023 0.023 8.680
Sb Ca Pm
2 2 2
Direct
0.750 0.250 0.276 Sb
0.250 0.750 0.724 Sb
0.750 0.250 0.648 Ca
0.250 0.750 0.352 Ca
0.750 0.750 0.000 Pm
0.250 0.250 0.000 Pm